! NdAlZnPt2 PBE relaxed; values from VASP
&SYSTEM
  ibrav = 0, nat = 5, ntyp = 4
/
ATOMIC_SPECIES
Nd 144.24 Nd.upf
Al 26.98 Al.upf
Zn 65.41 Zn.upf
Pt 195.08 Pt.upf
ATOMIC_POSITIONS crystal
Nd 0.000 0.000 0.000
Al 0.750 0.250 0.500
Zn 0.250 0.750 0.500
Pt 0.615 0.615 0.231
Pt 0.385 0.385 0.769
CELL_PARAMETERS angstrom
4.032 0.000 0.000
0.000 4.032 0.000
-2.016 -2.016 5.965
! energy of formation from the pure elements = -943.7 meV per atom
! density = 10.74 g/cm3
! V = 97 Å³/cell
! E_tot = -26.6 eV for the cell shown